Entry 1:
Material: BeZn2Mo
Method: DFT, PBE
State: relaxed

```
data_BeZn2Mo
_chemical_formula_sum 'Be1 Zn2 Mo1'
_symmetry_space_group_name_H-M 'P 4/m m m'
_symmetry_Int_Tables_number 123
_symmetry_space_group_name_Hall '-P 4 2'
_cell_length_a 2.6444
_cell_length_b 2.6444
_cell_length_c 7.5373
_cell_angle_alpha 90.00
_cell_angle_beta 90.00
_cell_angle_gamma 90.00
loop_
_atom_site_label
_atom_site_fract_x
_atom_site_fract_y
_atom_site_fract_z
_atom_site_occupancy
Be1 0.0000 0.0000 0.0000 1
Zn1 0.5000 0.5000 0.2184 1
Mo1 0.0000 0.0000 0.5000 1
```

Properties
DFT formation energy: 166 meV per atom

=====

Entry 2:
Material: VInCl3
Method: DFT, PBE
State: relaxed

```
data_VInCl3
_chemical_formula_sum 'V1 In1 Cl3'
_symmetry_space_group_name_H-M 'P m -3 m'
_symmetry_Int_Tables_number 221
_symmetry_space_group_name_Hall '-P 4 2 3'
_cell_length_a 5.3143
_cell_length_b 5.3143
_cell_length_c 5.3143
_cell_angle_alpha 90.00
_cell_angle_beta 90.00
_cell_angle_gamma 90.00
loop_
_atom_site_label
_atom_site_fract_x
_atom_site_fract_y
_atom_site_fract_z
_atom_site_occupancy
V1 0.0000 0.0000 0.0000 1
In1 0.5000 0.5000 0.5000 1
Cl1 0.0000 0.5000 0.5000 1
```

Properties
energy above the most stable polymorph in this dataset: 959 meV per atom
E_form (uncorrected): -0.75 kcal/mol of atoms

=====

For reference, raw total energy by record: -0.15104, -0.12906 hartree per atom.